Record 1
PBE+U Mn2AgTeO6, relaxed; SG = No. 1; uncorrected energy = -6.219 eV/atom; total magnetic moment = 8.99 μB per cell
1.0
5.2959 0.0000 0.0000
2.5243 4.7325 0.0000
2.5405 1.6752 5.0856
Mn Ag Te O
2 1 1 6
Cartesian
0.0000 0.0000 0.0000 Mn
5.1860 3.1592 2.8582 Mn
2.6241 1.5957 0.9879 Ag
7.7813 4.7839 3.0578 Te
4.0779 4.7777 4.1381 O
3.4884 3.5372 1.8770 O
4.4155 1.5978 3.9810 O
6.2374 4.4466 1.8396 O
6.8455 3.3312 4.0438 O
5.7319 1.3928 1.7207 O



Record 2
PBE+U MnAgTeO6, relaxed; SG = No. 163; Fermi-level density of states = 4.30 states/eV/f.u.; uncorrected energy = -5.659 eV/atom; total magnetic moment = 4.23 μB per cell
1.0
5.1530 0.0000 0.0000
-2.5765 4.4626 0.0000
0.0000 0.0000 9.6883
Mn Ag Te O
2 2 2 12
Cartesian
0.0000 2.9751 2.4221 Mn
2.5765 1.4875 7.2662 Mn
0.0000 0.0000 0.0000 Ag
0.0000 0.0000 4.8441 Ag
0.0000 2.9751 7.2662 Te
2.5765 1.4875 2.4221 Te
-0.9415 1.6602 1.3556 O
-1.6095 2.8172 3.4885 O
0.9414 1.6602 3.4885 O
-0.6680 4.4479 1.3556 O
1.9085 0.0148 6.1998 O
0.9670 1.6454 8.3326 O
1.6095 2.8172 1.3556 O
0.6680 4.4479 3.4885 O
3.2445 0.0148 8.3326 O
1.6351 2.8024 6.1998 O
4.1860 1.6454 6.1998 O
3.5180 2.8024 8.3326 O



Record 3
PBE+U Ti3MnAg2O8, relaxed; SG = No. 160; uncorrected energy = -7.569 eV/atom; total magnetic moment = 4.96 μB per cell
1.0
3.0288 1.7487 5.7498
-3.0288 1.7487 5.7498
0.0000 -3.4974 5.7498
Ti Mn Ag O
3 1 2 8
Cartesian
-1.5071 -0.8701 5.7498 Ti
1.5070 -0.8701 5.7498 Ti
0.0000 1.7402 5.7498 Ti
0.0000 0.0000 15.4668 Mn
0.0000 0.0000 2.3693 Ag
0.0000 0.0000 8.5860 Ag
0.0000 -1.5962 6.6962 O
-1.3824 0.7981 6.6962 O
0.0000 0.0000 4.6237 O
-1.3918 -0.8036 10.4027 O
1.3824 0.7981 6.6962 O
0.0000 0.0000 12.5270 O
1.3918 -0.8036 10.4027 O
0.0000 1.6071 10.4027 O



Record 4
PBE+U MnTl2Ag2O6, relaxed; SG = No. 12; Fermi-level density of states = 0.97 states/eV/f.u.; uncorrected energy = -4.987 eV/atom; total magnetic moment = 3.01 μB per cell
1.0
2.8838 -4.9449 0.0000
2.8838 4.9449 0.0000
-0.5227 0.0000 6.2998
Mn Tl Ag O
1 2 2 6
Cartesian
0.0000 0.0000 0.0000 Mn
2.8838 1.6142 0.0000 Tl
2.8838 -1.6142 0.0000 Tl
2.6224 3.4646 3.1499 Ag
2.6224 -3.4646 3.1499 Ag
2.1145 3.4871 1.1019 O
3.1303 3.4871 5.1979 O
1.6616 0.0000 1.0101 O
3.5832 0.0000 5.2896 O
2.1145 -3.4871 1.1019 O
3.1303 -3.4871 5.1979 O



Record 5
PBE+U UMn2AgO8, relaxed; SG = No. 10; Fermi-level density of states = 3.15 states/eV/f.u.; uncorrected energy = -7.331 eV/atom; total magnetic moment = 5.21 μB per cell
1.0
4.8369 0.0000 0.0000
0.0000 6.2184 0.0000
-0.0835 0.0000 4.8430
U Mn Ag O
1 2 1 8
Cartesian
0.0000 0.0000 0.0000 U
2.3767 1.6046 2.4215 Mn
2.3767 4.6138 2.4215 Mn
0.0000 3.1092 0.0000 Ag
1.0291 1.4605 1.0374 O
1.0291 4.7579 1.0374 O
1.4380 0.0000 3.3360 O
1.5369 3.1092 3.2376 O
3.2165 3.1092 1.6054 O
3.3153 0.0000 1.5070 O
3.7242 1.4605 3.8056 O
3.7242 4.7579 3.8056 O



Record 6
PBE+U MnV2AgO8, relaxed; SG = No. 119; Fermi-level density of states = 5.60 states/eV/f.u.; uncorrected energy = -6.560 eV/atom; total magnetic moment = 3.22 μB per cell
1.0
-3.3294 3.3294 3.2833
3.3294 -3.3294 3.2833
3.3294 3.3294 -3.2833
Mn V Ag O
1 2 1 8
Cartesian
0.0000 0.0000 0.0000 Mn
0.0000 0.0000 3.2833 V
0.0000 3.3294 1.6417 V
3.3294 0.0000 1.6417 Ag
2.0515 3.3294 -1.1893 O
1.2779 0.0000 2.0940 O
0.0000 1.9295 0.5846 O
3.3294 2.0515 1.1893 O
0.0000 4.7293 0.5846 O
0.0000 1.2779 4.4727 O
-1.3999 3.3294 2.6988 O
1.3999 3.3294 2.6988 O



What is the total magnetic moment in the third record?
4.96 μB per cell